A geometry-optimized Be2TlSi structure, computed with GGA-PBE.

Results
* DOS(E_F): 0.8 states/eV/f.u.
* magnetization: 0.000 μB per atom
* space group: No. 47
* raw formation energy: 0.592 eV per atom
* VASP energy: -12.9 eV per cell
* distance to the lowest polymorph of the same formula: 313 meV per atom

Unit cell a=2.7652 b=3.3745 c=6.9660 alpha=90.00 beta=90.00 gamma=90.00
With the nearest neighbours (Å) after each atom.
Fractional coordinates of all 4 atoms:
Be1 0.0000 0.0000 0.1570  1 Be 2.19, 4 Si 2.44
Be2 0.0000 0.0000 0.8430  1 Be 2.19, 4 Si 2.44
Tl1 0.5000 0.5000 0.5000  2 Tl 2.77
Si1 0.5000 0.5000 0.0000  8 Be 2.44